A geometry-optimized Tb2PaSi3Pt4 structure, computed with PBE.

a = 4.2199 Å, b = 4.2199 Å, c = 10.9641 Å
α = 90.00°, β = 90.00°, γ = 90.00°
Last column: nearest neighbours and their distance in Å.
Positions (direct):
Si (0.0000, 0.0000, 0.5000)  4 Pt 2.77, 4 Pa 2.98
Si (0.0000, 0.5000, 0.1200)  5 Pt 2.37-2.49
Si (0.5000, 0.0000, 0.8800)  5 Pt 2.37-2.49
Pt (0.0000, 0.5000, 0.3361)  1 Si 2.37
Pt (0.5000, 0.0000, 0.6639)  1 Si 2.37
Pt (0.5000, 0.5000, 0.0000)  4 Si 2.49
Pt (0.0000, 0.0000, 0.0000)  4 Si 2.49
Tb (0.5000, 0.0000, 0.2201)  4 Si 3.18, 8 Pt 3.21-3.24
Tb (0.0000, 0.5000, 0.7799)  4 Si 3.18, 8 Pt 3.21-3.24
Pa (0.5000, 0.5000, 0.5000)  4 Pt 2.77, 4 Si 2.98

Values from the calculation:
- DOS(E_F): 10.0 states/eV per cell
- E_form (uncorrected): -0.972 eV per atom

=====

A geometry-optimized Pa2Si4TcPt3 structure, computed with PBE.

a = 4.1930 Å, b = 4.1930 Å, c = 9.7989 Å
α = 90.00°, β = 90.00°, γ = 90.00°
Last column: nearest neighbours and their distance in Å.
Positions (direct):
Si (0.5000, 0.0000, 0.6326)  3 Pt 2.40-2.47, 2 Tc 2.47
Si (0.0000, 0.0000, 0.0000)  4 Pt 2.42
Si (0.5000, 0.5000, 0.0000)  4 Pt 2.42
Si (0.0000, 0.5000, 0.3674)  3 Pt 2.40-2.47, 2 Tc 2.47
Pa (0.5000, 0.0000, 0.2549)  8 Si 3.16-3.26, 2 Tc 3.19, 6 Pt 3.19-3.24
Pa (0.0000, 0.5000, 0.7451)  8 Si 3.16-3.26, 2 Tc 3.19, 6 Pt 3.19-3.24
Pt (0.0000, 0.0000, 0.5000)  4 Si 2.47
Pt (0.0000, 0.5000, 0.1226)  5 Si 2.40-2.42
Pt (0.5000, 0.0000, 0.8774)  5 Si 2.40-2.42
Tc (0.5000, 0.5000, 0.5000)  4 Si 2.47

Values from the calculation:
- DOS(E_F): 5.1 states/eV per cell
- E_form (uncorrected): -0.940 eV per atom

=====

Question: Which of these has the lowest E_form (uncorrected)?
Answer: Tb2PaSi3Pt4

=====

Question: Which of these has the highest E_form (uncorrected)?
Answer: Pa2Si4TcPt3

=====

Repeat the second record exactly.
A geometry-optimized Pa2Si4TcPt3 structure, computed with PBE.

a = 4.1930 Å, b = 4.1930 Å, c = 9.7989 Å
α = 90.00°, β = 90.00°, γ = 90.00°
Last column: nearest neighbours and their distance in Å.
Positions (direct):
Si (0.5000, 0.0000, 0.6326)  3 Pt 2.40-2.47, 2 Tc 2.47
Si (0.0000, 0.0000, 0.0000)  4 Pt 2.42
Si (0.5000, 0.5000, 0.0000)  4 Pt 2.42
Si (0.0000, 0.5000, 0.3674)  3 Pt 2.40-2.47, 2 Tc 2.47
Pa (0.5000, 0.0000, 0.2549)  8 Si 3.16-3.26, 2 Tc 3.19, 6 Pt 3.19-3.24
Pa (0.0000, 0.5000, 0.7451)  8 Si 3.16-3.26, 2 Tc 3.19, 6 Pt 3.19-3.24
Pt (0.0000, 0.0000, 0.5000)  4 Si 2.47
Pt (0.0000, 0.5000, 0.1226)  5 Si 2.40-2.42
Pt (0.5000, 0.0000, 0.8774)  5 Si 2.40-2.42
Tc (0.5000, 0.5000, 0.5000)  4 Si 2.47

Values from the calculation:
- DOS(E_F): 5.1 states/eV per cell
- E_form (uncorrected): -0.940 eV per atom

=====

Question: What is the formula in the first record?
Answer: Tb2PaSi3Pt4